DFT (PBE) results for a relaxed structure of PmPaNiRu.

Computed properties:
- DFT formation energy (kJ/mol of formula units) = -76.3
- crystal system = cubic
- space-group type = No. 216
- volume (Å³/atom) = 20.26

POSCAR file:
```
PmPaNiRu
1.0
4.857 0.000 0.000
2.429 4.207 0.000
2.429 1.402 3.966
Ni Pm Pa Ru
1 1 1 1
Direct
0.250 0.250 0.250 Ni
0.500 0.500 0.500 Pm
0.000 0.000 0.000 Pa
0.750 0.750 0.750 Ru
```